1.
{
  "formula": "LiYTl2",
  "functional": "PBE",
  "state": "relaxed",
  "lattice": [[9.906, 0.079, 0.047], [9.243, 3.564, 0.047], [9.243, 1.758, 3.100]],
  "species": ["Y", "Tl", "Tl", "Li"],
  "fractional_positions": [[0.250, 0.250, 0.250], [0.493, 0.493, 0.493], [0.007, 0.007, 0.007], [0.750, 0.750, 0.750]],
  "final_energy_ev_per_cell": -13.708,
  "e_form_ev_per_atom": -0.149,
  "relative_energy_mev_per_atom": 180
}

2.
{
  "formula": "LiAg3As",
  "functional": "PBE",
  "state": "relaxed",
  "lattice": [[4.533, 0.000, 0.000], [0.000, 4.533, 0.000], [0.000, 0.000, 4.533]],
  "species": ["Ag", "Ag", "Ag", "Li", "As"],
  "fractional_positions": [[0.500, 0.000, 0.000], [0.000, 0.500, 0.000], [0.000, 0.000, 0.500], [0.000, 0.000, 0.000], [0.500, 0.500, 0.500]],
  "final_energy_ev_per_cell": -12.830,
  "e_form_ev_per_atom": 0.457,
  "relative_energy_mev_per_atom": 602
}

3.
{
  "formula": "La5TlGa2",
  "functional": "PBE",
  "state": "relaxed",
  "lattice": [[7.401, 0.000, -3.493], [-1.649, 7.215, -3.493], [-0.062, -0.078, 9.454]],
  "species": ["La", "La", "La", "La", "La", "La", "La", "La", "La", "La", "Ga", "Ga", "Ga", "Ga", "Tl", "Tl"],
  "fractional_positions": [[0.026, 0.526, 0.709], [0.317, 0.817, 0.291], [0.974, 0.474, 0.291], [0.683, 0.183, 0.709], [0.500, 0.500, 0.000], [0.183, 0.026, 0.709], [0.474, 0.317, 0.291], [0.817, 0.974, 0.291], [0.526, 0.683, 0.709], [0.000, 0.000, 0.000], [0.882, 0.618, 0.000], [0.618, 0.118, 0.000], [0.118, 0.382, 0.000], [0.382, 0.882, 0.000], [0.250, 0.250, 0.500], [0.750, 0.750, 0.500]],
  "final_energy_ev_per_cell": -72.999,
  "e_form_ev_per_atom": -0.430
}

4.
{
  "formula": "NaSn2GeS6",
  "functional": "PBE",
  "state": "relaxed",
  "lattice": [[-3.769, 6.243, 0.412], [-8.493, -2.497, 1.026], [-0.526, 1.806, 8.711]],
  "species": ["S", "S", "S", "S", "S", "S", "S", "S", "S", "S", "S", "S", "Na", "Na", "Sn", "Sn", "Sn", "Sn", "Ge", "Ge"],
  "fractional_positions": [[0.587, 0.089, 0.635], [0.459, 0.434, 0.304], [0.149, 0.977, 0.822], [0.087, 0.635, 0.089], [0.413, 0.911, 0.365], [0.541, 0.566, 0.696], [0.959, 0.304, 0.434], [0.649, 0.822, 0.977], [0.851, 0.023, 0.178], [0.351, 0.178, 0.023], [0.041, 0.696, 0.566], [0.913, 0.365, 0.911], [0.750, 0.126, 0.874], [0.250, 0.874, 0.126], [0.308, 0.792, 0.618], [0.692, 0.208, 0.382], [0.192, 0.382, 0.208], [0.808, 0.618, 0.792], [0.250, 0.213, 0.787], [0.750, 0.787, 0.213]],
  "final_energy_ev_per_cell": -84.807
}